First-principles (GGA-PBE) data for an optimized crystal structure of AlZn2W, as listed in OQMD.

abc: 4.3980 4.3980 4.3980
angles: 60.00 60.00 60.00
Closest atoms and distances in Å follow each position.
Positions (direct):
Zn (0.7500, 0.7500, 0.7500)  4 Zn 2.69, 4 Al 2.69
Zn (0.0000, 0.0000, 0.0000)  4 Zn 2.69, 4 W 2.69
W (0.2500, 0.2500, 0.2500)  4 Al 2.69, 4 Zn 2.69
Al (0.5000, 0.5000, 0.5000)  4 W 2.69, 4 Zn 2.69

## Properties
**Space-group type**: F-43m (216)
**Crystal system**: cubic
**Uncorrected energy**: -4.387 eV per atom